Ac2CeZn4: optimized geometry, GGA-PBE.

## Properties
ΔH_f (0 K) in eV/atom: -0.07
Final energy in eV per atom: -2.82

The structure in CIF format:
```
data_Ac2CeZn4
_space_group_name_H-M_alt 'I 4/m m m'
_space_group_IT_number 139
_space_group_name_Hall '-I 4 2'
_cell_length_a 5.4938
_cell_length_b 5.4938
_cell_length_c 13.2470
_cell_angle_alpha 90.00
_cell_angle_beta 90.00
_cell_angle_gamma 90.00
loop_
_atom_site_label
_atom_site_type_symbol
_atom_site_fract_x
_atom_site_fract_y
_atom_site_fract_z
Ac1 Ac 0.0000 0.0000 0.2162
Ce1 Ce 0.0000 0.0000 0.5000
Zn1 Zn 0.0000 0.5000 0.0997
```

CaNi3: optimized geometry, GGA-PBE.

## Properties
ΔH_f (0 K) in eV/atom: 0.53
Final energy in eV per atom: -4.30

The structure in CIF format:
```
data_CaNi3
_space_group_name_H-M_alt 'R -3 m'
_space_group_IT_number 166
_space_group_name_Hall '-R 3 2"'
_cell_length_a 2.8055
_cell_length_b 2.8055
_cell_length_c 25.2622
_cell_angle_alpha 90.00
_cell_angle_beta 90.00
_cell_angle_gamma 120.00
loop_
_atom_site_label
_atom_site_type_symbol
_atom_site_fract_x
_atom_site_fract_y
_atom_site_fract_z
Ca1 Ca 0.0000 0.0000 0.0000
Ni1 Ni 0.0000 0.0000 0.2407
Ni2 Ni 0.0000 0.0000 0.5000
```

Tl2SeBr: optimized geometry, GGA-PBE.

## Properties
Formation energy from raw total energies in eV/atom: -0.45
Final energy in eV per atom: -2.93
E above lowest polymorph in eV/atom: 0.0326

The structure in CIF format:
```
data_Tl2SeBr
_space_group_name_H-M_alt 'I m m 2'
_space_group_IT_number 44
_space_group_name_Hall 'I 2 -2'
_cell_length_a 4.0669
_cell_length_b 4.1509
_cell_length_c 15.8915
_cell_angle_alpha 90.00
_cell_angle_beta 90.00
_cell_angle_gamma 90.00
loop_
_atom_site_label
_atom_site_type_symbol
_atom_site_fract_x
_atom_site_fract_y
_atom_site_fract_z
Tl1 Tl 0.0000 0.0000 0.0000
Tl2 Tl 0.0000 0.5000 0.2750
Se1 Se 0.0000 0.0000 0.4629
Br1 Br 0.0000 0.5000 0.6832
```

> What is the final energy in the first record?

-2.82 eV per atom